(1)
HfSeBr2O: optimized geometry, PBE-GGA.

a b c (Å): 4.544 4.544 4.772
angles (deg): 90.00 90.00 90.00
Sites, in units of the cell vectors:
Br 0.500 0.000 0.000
Br 0.000 0.500 0.000
O 0.000 0.000 0.000
Hf 0.500 0.500 0.500
Se 0.000 0.000 0.500

Symmetry: P4/mmm (123)
Total magnetic moment in μB/cell: 0.00
Crystal system: tetragonal
Relative energy among the computed polymorphs in meV per atom: 555
Raw formation energy in eV/atom: 0.42

---

(2)
Cs2K6Na: optimized geometry, PBE-GGA.

a b c (Å): 9.010 8.620 10.730
angles (deg): 98.33 90.00 121.51
Sites, in units of the cell vectors:
K 0.226 0.950 0.300
K 0.774 0.050 0.700
K 0.761 0.522 0.569
K 0.724 0.950 0.300
K 0.239 0.478 0.431
K 0.276 0.050 0.700
Cs 0.695 0.389 0.078
Cs 0.305 0.611 0.922
Na 0.000 0.000 0.000

Symmetry: C2/m (12)
Total magnetic moment in μB/cell: 0.00
Formation enthalpy at 0 K in meV/atom: 23
Crystal system: monoclinic
Relative energy among the computed polymorphs in meV per atom: 0

---

(3)
NaCdSi2: optimized geometry, PBE-GGA.

a b c (Å): 4.840 4.840 4.840
angles (deg): 60.00 60.00 60.00
Sites, in units of the cell vectors:
Si 0.750 0.750 0.750
Si 0.250 0.250 0.250
Cd 0.500 0.500 0.500
Na 0.000 0.000 0.000

Symmetry: Fm-3m (225)
Total magnetic moment in μB/cell: 0.00
Crystal system: cubic
Relative energy among the computed polymorphs in meV per atom: 29
Raw formation energy in eV/atom: 0.44

---

(4)
LaHoPd2: optimized geometry, PBE-GGA.

a b c (Å): 3.511 3.511 7.440
angles (deg): 90.00 90.00 90.00
Sites, in units of the cell vectors:
La 0.500 0.500 0.500
Ho 0.500 0.500 0.000
Pd 0.000 0.000 0.222
Pd 0.000 0.000 0.778

Symmetry: P4/mmm (123)
Total magnetic moment in μB/cell: 0.00
Formation enthalpy at 0 K in meV/atom: -824
Crystal system: tetragonal
Relative energy among the computed polymorphs in meV per atom: 44

---

(5)
Nd2SmLu: optimized geometry, PBE-GGA.

a b c (Å): 3.618 3.618 10.182
angles (deg): 90.00 90.00 90.00
Sites, in units of the cell vectors:
Lu 0.500 0.500 0.000
Sm 0.500 0.500 0.500
Nd 0.000 0.000 0.756
Nd 0.000 0.000 0.244

Symmetry: P4/mmm (123)
Total magnetic moment in μB/cell: 0.00
Formation enthalpy at 0 K in meV/atom: 23
Crystal system: tetragonal
Relative energy among the computed polymorphs in meV per atom: 7

---

(6)
LaRu2: optimized geometry, PBE-GGA.

a b c (Å): 4.193 4.193 13.788
angles (deg): 98.75 98.75 90.00
Sites, in units of the cell vectors:
La 0.923 0.923 0.846
La 0.173 0.673 0.346
La 0.327 0.827 0.654
La 0.077 0.077 0.154
Ru 0.251 0.251 0.502
Ru 0.749 0.749 0.498
Ru 0.999 0.499 0.998
Ru 0.436 0.436 0.871
Ru 0.564 0.564 0.129
Ru 0.686 0.186 0.371
Ru 0.814 0.314 0.629
Ru 0.501 0.001 0.002

Symmetry: I4_1/amd (141)
Total magnetic moment in μB/cell: 0.00
Formation enthalpy at 0 K in meV/atom: 211
Crystal system: tetragonal

---

(7)
Co2GeRh2: optimized geometry, PBE-GGA.

a b c (Å): 5.898 5.898 3.868
angles (deg): 90.00 90.00 90.00
Sites, in units of the cell vectors:
Rh 0.339 0.161 0.500
Rh 0.661 0.839 0.500
Rh 0.839 0.339 0.500
Rh 0.161 0.661 0.500
Co 0.134 0.366 0.000
Co 0.866 0.634 0.000
Co 0.366 0.866 0.000
Co 0.634 0.134 0.000
Ge 0.000 0.000 0.000
Ge 0.500 0.500 0.000

Symmetry: P4/mbm (127)
Total magnetic moment in μB/cell: 6.19
Formation enthalpy at 0 K in meV/atom: 76
Crystal system: tetragonal

---

(8)
Pa5Co2Ge5: optimized geometry, PBE-GGA.

a b c (Å): 4.036 7.631 8.535
angles (deg): 90.42 76.32 74.67
Sites, in units of the cell vectors:
Ge 0.933 0.761 0.374
Ge 0.000 0.000 0.000
Ge 0.756 0.301 0.187
Ge 0.244 0.699 0.813
Ge 0.067 0.239 0.626
Pa 0.609 0.691 0.090
Pa 0.675 0.953 0.696
Pa 0.500 0.500 0.500
Pa 0.325 0.047 0.304
Pa 0.391 0.309 0.910
Co 0.160 0.466 0.214
Co 0.840 0.534 0.786

Symmetry: C2/m (12)
Total magnetic moment in μB/cell: 0.00
Formation enthalpy at 0 K in meV/atom: -500
Crystal system: monoclinic